(w)
A relaxed NpAg2Br6 crystal, computed with PBE.

Cell lengths 10.079, 10.079, 7.227 Å; angles 93.22, 93.22, 91.57 degrees
Atoms (fractional coordinates):
Np (0.080, 0.920, 0.750)
Np (0.920, 0.080, 0.250)
Ag (0.394, 0.397, 0.188)
Ag (0.397, 0.394, 0.688)
Ag (0.603, 0.606, 0.312)
Ag (0.606, 0.603, 0.812)
Br (0.045, 0.173, 0.595)
Br (0.083, 0.675, 0.866)
Br (0.173, 0.045, 0.095)
Br (0.266, 0.506, 0.439)
Br (0.325, 0.917, 0.634)
Br (0.494, 0.734, 0.061)
Br (0.506, 0.266, 0.939)
Br (0.675, 0.083, 0.366)
Br (0.734, 0.494, 0.561)
Br (0.827, 0.955, 0.905)
Br (0.917, 0.325, 0.134)
Br (0.955, 0.827, 0.405)

***

(x)
A relaxed NpAg2Br6 crystal, computed with PBE.

Cell lengths 7.764, 7.764, 7.764 Å; angles 55.09, 55.09, 55.09 degrees
Atoms (fractional coordinates):
Np (0.000, 0.000, 0.000)
Ag (0.181, 0.181, 0.181)
Ag (0.819, 0.819, 0.819)
Br (0.092, 0.393, 0.766)
Br (0.234, 0.908, 0.607)
Br (0.393, 0.766, 0.092)
Br (0.607, 0.234, 0.908)
Br (0.766, 0.092, 0.393)
Br (0.908, 0.607, 0.234)

***

Tell me which of them is the least stable. Sure, it is (w).